*1*
DFT (PBE-GGA) results for crystalline SrGa3Tc at its relaxed geometry.

Lattice parameters (Å, degrees): 7.121 5.102 6.604 90.02 62.36 89.09
Fractional positions:
Tc 0.842 0.933 0.861
Tc 0.394 0.674 0.086
Ga 0.618 0.803 0.282
Ga 0.618 0.803 0.665
Ga 0.440 0.178 0.062
Sr 0.311 0.308 0.627
Ga 0.797 0.429 0.885
Sr 0.925 0.299 0.320
Ga 0.118 0.804 0.473
Ga 0.118 0.804 0.973

## Properties
The size of the total moment is 0.029 μB per atom. The density of states at the Fermi level is 3.70 states/eV/f.u.

---

*2*
DFT (PBE-GGA) results for crystalline SrGa3Tc at its relaxed geometry.

Lattice parameters (Å, degrees): 7.296 7.296 5.038 90.00 90.00 123.12
Fractional positions:
Tc 0.166 0.834 0.250
Ga 0.429 0.914 0.750
Sr 0.590 0.410 0.750
Ga 0.914 0.429 0.250
Ga 0.571 0.086 0.250
Ga 0.000 0.000 0.500
Sr 0.410 0.590 0.250
Ga 0.086 0.571 0.750
Ga 0.000 0.000 0.000
Tc 0.834 0.166 0.750

## Properties
The size of the total moment is 0.000 μB per atom. The density of states at the Fermi level is 2.03 states/eV/f.u.

---

*3*
DFT (PBE-GGA) results for crystalline SrGa3Tc at its relaxed geometry.

Lattice parameters (Å, degrees): 24.492 6.793 9.815 90.00 162.71 90.00
Fractional positions:
Ga 0.232 0.082 0.722
Sr 0.169 0.275 0.277
Ga 0.600 0.106 0.309
Tc 0.398 0.869 0.961
Tc 0.602 0.131 0.039
Ga 0.732 0.418 0.222
Ga 0.100 0.394 0.809
Sr 0.831 0.725 0.723
Ga 0.400 0.894 0.691
Ga 0.268 0.582 0.778
Ga 0.370 0.254 0.320
Ga 0.768 0.918 0.278
Ga 0.900 0.606 0.191
Ga 0.870 0.246 0.820
Ga 0.130 0.754 0.180
Tc 0.898 0.631 0.461
Tc 0.102 0.369 0.539
Sr 0.331 0.775 0.223
Sr 0.669 0.225 0.777
Ga 0.630 0.746 0.680

## Properties
The size of the total moment is 0.000 μB per atom. The density of states at the Fermi level is 0.02 states/eV/f.u.

---

Most stable: *1* (next structure +149 meV/atom)

---

*1*
DFT (PBE-GGA) results for crystalline SrGa3Tc at its relaxed geometry.

Lattice parameters (Å, degrees): 15.977 7.566 7.566 152.32 146.30 33.70
Fractional positions:
Tc 0.481 0.122 0.878
Ga 0.344 0.637 0.363
Ga 0.196 0.177 0.823
Ga 0.406 0.371 0.629
Tc 0.519 0.878 0.122
Sr 0.864 0.992 0.008
Ga 0.594 0.629 0.371
Ga 0.656 0.363 0.637
Ga 0.804 0.823 0.177
Sr 0.136 0.008 0.992

## Properties
The size of the total moment is 0.000 μB per atom. The density of states at the Fermi level is 2.37 states/eV/f.u.

---

*2*
DFT (PBE-GGA) results for crystalline SrGa3Tc at its relaxed geometry.

Lattice parameters (Å, degrees): 9.512 9.512 9.512 60.00 60.00 60.00
Fractional positions:
Tc 0.625 0.625 0.125
Sr 0.625 0.125 0.125
Ga 0.339 0.661 0.661
Sr 0.125 0.125 0.125
Ga 0.661 0.339 0.339
Ga 0.589 0.911 0.589
Tc 0.125 0.625 0.625
Ga 0.911 0.911 0.589
Ga 0.339 0.661 0.339
Tc 0.625 0.125 0.625
Ga 0.911 0.589 0.911
Sr 0.125 0.625 0.125
Ga 0.661 0.339 0.661
Ga 0.911 0.589 0.589
Ga 0.339 0.339 0.661
Tc 0.625 0.625 0.625
Ga 0.589 0.911 0.911
Ga 0.589 0.589 0.911
Ga 0.661 0.661 0.339
Sr 0.125 0.125 0.625

## Properties
The size of the total moment is 0.000 μB per atom. The density of states at the Fermi level is 4.64 states/eV/f.u.

---

*3*
DFT (PBE-GGA) results for crystalline SrGa3Tc at its relaxed geometry.

Lattice parameters (Å, degrees): 3.607 7.998 8.026 90.00 89.89 90.00
Fractional positions:
Sr 0.251 0.250 0.414
Ga 0.752 0.964 0.204
Sr 0.749 0.750 0.586
Tc 0.748 0.250 0.748
Ga 0.249 0.750 0.951
Ga 0.248 0.464 0.796
Ga 0.752 0.536 0.204
Ga 0.248 0.036 0.796
Ga 0.751 0.250 0.049
Tc 0.252 0.750 0.252

## Properties
The size of the total moment is 0.000 μB per atom. The density of states at the Fermi level is 2.75 states/eV/f.u.

---

*4*
DFT (PBE-GGA) results for crystalline SrGa3Tc at its relaxed geometry.

Lattice parameters (Å, degrees): 6.630 6.156 6.094 90.00 122.93 90.00
Fractional positions:
Ga 0.286 0.500 0.000
Tc 0.928 0.750 0.855
Sr 0.756 0.250 0.513
Ga 0.714 0.500 0.000
Ga 0.714 0.000 0.000
Ga 0.286 0.000 0.000
Sr 0.244 0.750 0.487
Tc 0.072 0.250 0.145
Ga 0.690 0.750 0.379
Ga 0.310 0.250 0.621

## Properties
The size of the total moment is 0.000 μB per atom. The density of states at the Fermi level is 0.94 states/eV/f.u.

---

Most stable: *4* (next structure +88 meV/atom)

---

*1*
DFT (PBE-GGA) results for crystalline SrGa3Tc at its relaxed geometry.

Lattice parameters (Å, degrees): 5.024 5.024 5.024 69.07 69.07 69.07
Fractional positions:
Sr 0.292 0.292 0.292
Tc 0.025 0.025 0.025
Ga 0.182 0.688 0.688
Ga 0.688 0.688 0.182
Ga 0.688 0.182 0.688

## Properties
The size of the total moment is 0.000 μB per atom. The density of states at the Fermi level is 3.72 states/eV/f.u.

---

*2*
DFT (PBE-GGA) results for crystalline SrGa3Tc at its relaxed geometry.

Lattice parameters (Å, degrees): 4.792 4.792 12.074 78.56 78.56 90.00
Fractional positions:
Tc 0.700 0.200 0.600
Ga 0.131 0.890 0.737
Tc 0.800 0.300 0.400
Ga 0.110 0.869 0.263
Sr 0.000 0.000 0.000
Ga 0.131 0.373 0.737
Ga 0.627 0.869 0.263
Ga 0.337 0.337 0.325
Ga 0.663 0.663 0.675
Sr 0.250 0.750 0.500

## Properties
The size of the total moment is 0.000 μB per atom. The density of states at the Fermi level is 3.05 states/eV/f.u.

---

*3*
DFT (PBE-GGA) results for crystalline SrGa3Tc at its relaxed geometry.

Lattice parameters (Å, degrees): 7.061 6.417 6.470 60.27 63.29 62.98
Fractional positions:
Sr 0.662 0.383 0.521
Ga 0.741 0.391 0.977
Tc 0.972 0.948 0.081
Sr 0.312 0.181 0.274
Tc 0.433 0.795 0.925
Ga 0.197 0.678 0.396
Ga 0.194 0.710 0.781
Ga 0.195 0.263 0.781
Ga 0.741 0.839 0.977
Ga 0.735 0.847 0.519

## Properties
The size of the total moment is 0.000 μB per atom. The density of states at the Fermi level is 2.59 states/eV/f.u.

---

Most stable: *3* (next structure +461 meV/atom)

---

*1*
DFT (PBE-GGA) results for crystalline SrGa3Tc at its relaxed geometry.

Lattice parameters (Å, degrees): 5.503 5.503 9.298 72.79 72.79 90.00
Fractional positions:
Tc 0.000 0.000 0.000
Ga 0.737 0.737 0.527
Ga 0.617 0.881 0.238
Ga 0.145 0.881 0.238
Ga 0.119 0.383 0.762
Sr 0.570 0.070 0.860
Ga 0.119 0.855 0.762
Ga 0.263 0.263 0.473
Sr 0.930 0.430 0.140
Tc 0.250 0.750 0.500

## Properties
The size of the total moment is 0.000 μB per atom. The density of states at the Fermi level is 2.74 states/eV/f.u.

---

*2*
DFT (PBE-GGA) results for crystalline SrGa3Tc at its relaxed geometry.

Lattice parameters (Å, degrees): 5.581 5.581 5.581 90.00 90.00 90.00
Last column: magnetic moment on the atom in μB.
Fractional positions:
Ga 0.000 0.500 0.000  0.07
Ga 0.500 0.000 0.000  0.03
Tc 0.500 0.500 0.500  -3.62
Sr 0.000 0.000 0.000  0.05
Ga 0.000 0.000 0.500  0.03

## Properties
The size of the total moment is 0.746 μB per atom. The density of states at the Fermi level is 6.21 states/eV/f.u.

---

Most stable: *1* (next structure +1739 meV/atom)

---

*1*
DFT (PBE-GGA) results for crystalline SrGa3Tc at its relaxed geometry.

Lattice parameters (Å, degrees): 12.317 7.990 7.990 107.27 131.82 48.18
Fractional positions:
Ga 0.349 0.506 0.339
Ga 0.849 0.161 0.994
Sr 0.250 0.974 0.474
Ga 0.933 0.214 0.504
Sr 0.250 0.358 0.858
Tc 0.235 0.397 0.403
Ga 0.651 0.494 0.661
Tc 0.735 0.097 0.103
Ga 0.050 0.292 0.002
Tc 0.765 0.603 0.597
Sr 0.750 0.642 0.142
Ga 0.567 0.004 0.714
Ga 0.067 0.786 0.496
Ga 0.433 0.996 0.286
Ga 0.550 0.498 0.208
Ga 0.450 0.502 0.792
Sr 0.750 0.026 0.526
Ga 0.950 0.708 0.998
Tc 0.265 0.903 0.897
Ga 0.151 0.839 0.006

## Properties
The size of the total moment is 0.000 μB per atom. The density of states at the Fermi level is 3.08 states/eV/f.u.

---

*2*
DFT (PBE-GGA) results for crystalline SrGa3Tc at its relaxed geometry.

Lattice parameters (Å, degrees): 3.576 7.648 7.648 138.74 90.00 90.00
Fractional positions:
Sr 0.500 0.096 0.904
Tc 0.000 0.465 0.535
Ga 0.500 0.121 0.338
Ga 0.500 0.662 0.879
Ga 0.000 0.285 0.715

## Properties
The size of the total moment is 0.000 μB per atom. The density of states at the Fermi level is 3.85 states/eV/f.u.

---

Most stable: *1* (next structure +413 meV/atom)

---

*1*
DFT (PBE-GGA) results for crystalline SrGa3Tc at its relaxed geometry.

Lattice parameters (Å, degrees): 5.050 6.619 9.275 55.61 82.75 71.14
Fractional positions:
Ga 0.259 0.201 0.082
Ga 0.757 0.207 0.079
Tc 0.438 0.243 0.306
Sr 0.899 0.768 0.749
Ga 0.261 0.203 0.581
Ga 0.259 0.704 0.081
Sr 0.628 0.639 0.412
Tc 0.079 0.164 0.856
Ga 0.942 0.207 0.337
Ga 0.576 0.199 0.824

## Properties
The size of the total moment is 0.000 μB per atom. The density of states at the Fermi level is 1.72 states/eV/f.u.

---

*2*
DFT (PBE-GGA) results for crystalline SrGa3Tc at its relaxed geometry.

Lattice parameters (Å, degrees): 6.079 12.307 5.414 90.00 90.00 90.00
Fractional positions:
Ga 0.655 0.750 0.134
Tc 0.690 0.250 0.164
Ga 0.998 0.375 0.017
Tc 0.810 0.750 0.664
Ga 0.998 0.125 0.017
Ga 0.498 0.375 0.483
Tc 0.310 0.750 0.836
Ga 0.502 0.875 0.517
Tc 0.190 0.250 0.336
Ga 0.002 0.625 0.983
Ga 0.155 0.750 0.366
Sr 0.000 0.000 0.500
Ga 0.502 0.625 0.517
Ga 0.498 0.125 0.483
Ga 0.345 0.250 0.866
Ga 0.002 0.875 0.983
Sr 0.500 0.000 0.000
Sr 0.500 0.500 0.000
Ga 0.845 0.250 0.634
Sr 0.000 0.500 0.500

## Properties
The size of the total moment is 0.000 μB per atom. The density of states at the Fermi level is 0.00 states/eV/f.u.

---

Most stable: *1* (next structure +50 meV/atom)